# Ta2NbSn | OQMD via LeMat-Bulk | GGA-PBE | relaxed
# Magnetic moment, μB/cell: 0.01
# ρ, g/cm3: 12.63
# Volume, Å³ per atom: 18.8
# VASP energy, eV for the cell shown: -149.46
data_Ta2NbSn
_symmetry_space_group_name_H-M 'F -4 3 m'
_symmetry_Int_Tables_number 216
_symmetry_space_group_name_Hall 'F -4 2 3'
_cell_length_a 6.706
_cell_length_b 6.706
_cell_length_c 6.706
_cell_angle_alpha 90.00
_cell_angle_beta 90.00
_cell_angle_gamma 90.00
loop_
_atom_site_label
_atom_site_type_symbol
_atom_site_fract_x
_atom_site_fract_y
_atom_site_fract_z
Ta1 Ta 0.000 0.000 0.000
Ta2 Ta 0.250 0.250 0.250
Nb1 Nb 0.250 0.250 0.750
Sn1 Sn 0.000 0.000 0.500